Record 1
Ir2RuW2 PBE-GGA relaxed; formation energy = 0.07 eV/atom
1.0
7.511 0.000 0.000
0.000 7.511 0.000
0.000 0.000 2.810
Ir Ru W
4 2 4
direct
0.127 0.373 0.000 Ir
0.373 0.873 0.000 Ir
0.627 0.127 0.000 Ir
0.873 0.627 0.000 Ir
0.000 0.000 0.000 Ru
0.500 0.500 0.000 Ru
0.170 0.670 0.500 W
0.330 0.170 0.500 W
0.670 0.830 0.500 W
0.830 0.330 0.500 W

Record 2
Y2SnHgTe PBE-GGA relaxed; energy relative to the elements, uncorrected = -0.047 eV/atom
1.0
5.802 0.000 0.000
0.000 5.802 0.000
0.000 0.000 5.339
Y Sn Hg Te
2 1 1 1
direct
0.000 0.500 0.000 Y
0.500 0.000 0.000 Y
0.000 0.000 0.000 Sn
0.000 0.000 0.500 Hg
0.500 0.500 0.500 Te

Record 3
TiSbAs2Br PBE-GGA relaxed; energy relative to the elements, uncorrected = 0.075 eV/atom
1.0
5.075 0.000 0.000
0.000 5.075 0.000
0.000 0.000 4.820
Ti Sb As Br
1 1 2 1
direct
0.000 0.000 0.000 Ti
0.500 0.500 0.500 Sb
0.000 0.500 0.000 As
0.500 0.000 0.000 As
0.000 0.000 0.500 Br

Record 4
The following is a DFT calculation (PBE-GGA) of a geometry-optimized TaHg2H structure.

Structure (POSCAR):
```
TaHg2H
1.0
-3.329 3.329 3.064
3.329 -3.329 3.064
3.329 3.329 -3.064
Ta Hg H
2 4 2
direct
0.000 0.000 0.000 Ta
0.750 0.250 0.500 Ta
0.203 0.625 0.078 Hg
0.375 0.453 0.578 Hg
0.547 0.125 0.922 Hg
0.875 0.797 0.422 Hg
0.250 0.750 0.500 H
0.500 0.500 0.000 H
```

Record 5
Tb5Nd2Sm PBE-GGA relaxed; formation energy = 0.02 eV/atom
1.0
7.199 0.000 0.000
0.000 14.400 0.000
0.000 0.000 5.088
Tb Nd Sm
10 4 2
direct
0.000 0.000 0.000 Tb
0.001 0.250 0.000 Tb
0.249 0.625 0.500 Tb
0.251 0.125 0.500 Tb
0.499 0.750 0.000 Tb
0.500 0.500 0.000 Tb
0.501 0.250 0.000 Tb
0.749 0.875 0.500 Tb
0.751 0.375 0.500 Tb
0.999 0.750 0.000 Tb
0.249 0.875 0.500 Nd
0.251 0.375 0.500 Nd
0.749 0.625 0.500 Nd
0.751 0.125 0.500 Nd
0.000 0.500 0.000 Sm
0.500 0.000 0.000 Sm

Record 6
BeMoBr2 PBE-GGA relaxed; energy relative to the elements, uncorrected = 0.073 eV/atom
1.0
3.120 -1.645 0.000
3.120 1.645 0.000
-0.570 0.000 8.395
Be Mo Br
1 1 2
direct
0.000 0.000 0.000 Be
0.714 0.714 0.161 Mo
0.258 0.258 0.394 Br
0.640 0.640 0.844 Br

Record 7
The following is a DFT calculation (PBE-GGA) of a geometry-optimized Cr2HPdRu structure.

Structure (POSCAR):
```
Cr2HPdRu
1.0
3.795 0.000 0.000
0.000 3.795 0.000
0.000 0.000 3.790
Cr H Pd Ru
2 1 1 1
direct
0.000 0.500 0.000 Cr
0.500 0.000 0.000 Cr
0.000 0.000 0.000 H
0.000 0.000 0.500 Pd
0.500 0.500 0.500 Ru
```

Record 8
Tm8Bi2C3 PBE-GGA relaxed; formation energy = -0.41 eV/atom
1.0
7.614 -3.576 0.000
7.614 3.576 0.000
-1.733 0.000 6.039
Tm Bi C
8 2 3
direct
0.089 0.089 0.894 Tm
0.154 0.671 0.613 Tm
0.329 0.846 0.387 Tm
0.409 0.409 0.089 Tm
0.591 0.591 0.911 Tm
0.671 0.154 0.613 Tm
0.846 0.329 0.387 Tm
0.911 0.911 0.106 Tm
0.253 0.253 0.321 Bi
0.747 0.747 0.679 Bi
0.000 0.000 0.500 C
0.252 0.748 0.000 C
0.748 0.252 0.000 C

no.,total energy (hartree per atom)
1,-0.386
2,-0.151
3,-0.166
4,-0.114
5,-0.171
6,-0.162
7,-0.267
8,-0.216